CsRe3Te: relaxed, PBEsol.

Mass density = 11.608 g/cm³
Formation energy without anion corrections = 4.05 eV/atom

POSCAR file:
```
CsRe3Te
1.0
4.893 0.000 0.000
0.000 4.893 0.000
0.000 0.000 4.893
Re Cs Te
3 1 1
Direct
0.000 0.000 0.500
0.500 0.000 0.000
0.000 0.500 0.000
0.000 0.000 0.000
0.500 0.500 0.500
```